Arrangement a

Compound: Zr4As3
Source: Alexandria
Functional: PBE
Structure: optimized geometry

Values from the calculation:
Its volume is 20.32 A^3/atom.

Geometry as CIF:
```
data_Zr4As3
_symmetry_space_group_name_H-M 'P 1'
_symmetry_Int_Tables_number 1
_cell_length_a 3.670
_cell_length_b 3.670
_cell_length_c 21.124
_cell_angle_alpha 90.00
_cell_angle_beta 90.00
_cell_angle_gamma 90.00
loop_
_symmetry_equiv_pos_as_xyz
'x,y,z'
loop_
_atom_site_label
_atom_site_fract_x
_atom_site_fract_y
_atom_site_fract_z
Zr1 0.000 0.000 0.068
Zr2 0.000 0.000 0.340
Zr3 0.000 0.000 0.660
Zr4 0.000 0.000 0.932
Zr5 0.500 0.500 0.160
Zr6 0.500 0.500 0.432
Zr7 0.500 0.500 0.568
Zr8 0.500 0.500 0.840
As1 0.000 0.000 0.199
As2 0.000 0.000 0.500
As3 0.000 0.000 0.801
As4 0.500 0.500 0.000
As5 0.500 0.500 0.301
As6 0.500 0.500 0.699
```

Arrangement b

Compound: Zr4As3
Source: Alexandria
Functional: PBE
Structure: optimized geometry

Values from the calculation:
Its volume is 20.00 A^3/atom.

Geometry as CIF:
```
data_Zr4As3
_symmetry_space_group_name_H-M 'P 1'
_symmetry_Int_Tables_number 1
_cell_length_a 5.632
_cell_length_b 5.632
_cell_length_c 5.095
_cell_angle_alpha 90.00
_cell_angle_beta 90.00
_cell_angle_gamma 120.00
loop_
_symmetry_equiv_pos_as_xyz
'x,y,z'
loop_
_atom_site_label
_atom_site_fract_x
_atom_site_fract_y
_atom_site_fract_z
Zr1 0.000 0.000 0.241
Zr2 0.000 0.000 0.759
Zr3 0.333 0.667 0.000
Zr4 0.667 0.333 0.000
As1 0.000 0.500 0.500
As2 0.500 0.000 0.500
As3 0.500 0.500 0.500
```

Of them, arrangement a has the highest stability.

Arrangement a

Compound: Ba2B2Au
Source: Alexandria
Functional: PBE
Structure: optimized geometry

Values from the calculation:
Its volume is 25.95 A^3/atom.

Geometry as CIF:
```
data_Ba2B2Au
_symmetry_space_group_name_H-M 'P 1'
_symmetry_Int_Tables_number 1
_cell_length_a 7.939
_cell_length_b 7.939
_cell_length_c 4.117
_cell_angle_alpha 90.00
_cell_angle_beta 90.00
_cell_angle_gamma 90.00
loop_
_symmetry_equiv_pos_as_xyz
'x,y,z'
loop_
_atom_site_label
_atom_site_fract_x
_atom_site_fract_y
_atom_site_fract_z
Ba1 0.202 0.298 0.000
Ba2 0.298 0.798 0.000
Ba3 0.702 0.202 0.000
Ba4 0.798 0.702 0.000
B1 0.069 0.569 0.500
B2 0.431 0.069 0.500
B3 0.569 0.931 0.500
B4 0.931 0.431 0.500
Au1 0.000 0.000 0.500
Au2 0.500 0.500 0.500
```

Arrangement b

Compound: Ba2B2Au
Source: Alexandria
Functional: PBE
Structure: optimized geometry

Values from the calculation:
Its volume is 26.02 A^3/atom.

Geometry as CIF:
```
data_Ba2B2Au
_symmetry_space_group_name_H-M 'P 1'
_symmetry_Int_Tables_number 1
_cell_length_a 5.802
_cell_length_b 5.802
_cell_length_c 7.729
_cell_angle_alpha 90.00
_cell_angle_beta 90.00
_cell_angle_gamma 90.00
loop_
_symmetry_equiv_pos_as_xyz
'x,y,z'
loop_
_atom_site_label
_atom_site_fract_x
_atom_site_fract_y
_atom_site_fract_z
Ba1 0.000 0.500 0.250
Ba2 0.000 0.500 0.750
Ba3 0.500 0.000 0.250
Ba4 0.500 0.000 0.750
B1 0.000 0.000 0.100
B2 0.000 0.000 0.900
B3 0.500 0.500 0.400
B4 0.500 0.500 0.600
Au1 0.000 0.000 0.500
Au2 0.500 0.500 0.000
```

Of them, arrangement a has the highest stability.

Arrangement a

Compound: BaB2Au
Source: Alexandria
Functional: PBE
Structure: optimized geometry

Values from the calculation:
Its volume is 18.35 A^3/atom.

Geometry as CIF:
```
data_BaB2Au
_symmetry_space_group_name_H-M 'P 1'
_symmetry_Int_Tables_number 1
_cell_length_a 6.647
_cell_length_b 6.647
_cell_length_c 6.647
_cell_angle_alpha 90.00
_cell_angle_beta 90.00
_cell_angle_gamma 90.00
loop_
_symmetry_equiv_pos_as_xyz
'x,y,z'
loop_
_atom_site_label
_atom_site_fract_x
_atom_site_fract_y
_atom_site_fract_z
Ba1 0.000 0.000 0.000
Ba2 0.000 0.500 0.500
Ba3 0.500 0.000 0.500
Ba4 0.500 0.500 0.000
B1 0.250 0.250 0.250
B2 0.250 0.250 0.750
B3 0.250 0.750 0.250
B4 0.250 0.750 0.750
B5 0.750 0.250 0.250
B6 0.750 0.250 0.750
B7 0.750 0.750 0.250
B8 0.750 0.750 0.750
Au1 0.000 0.000 0.500
Au2 0.000 0.500 0.000
Au3 0.500 0.000 0.000
Au4 0.500 0.500 0.500
```

Arrangement b

Compound: BaB2Au
Source: Alexandria
Functional: PBE
Structure: optimized geometry

Values from the calculation:
Its volume is 20.44 A^3/atom.

Geometry as CIF:
```
data_BaB2Au
_symmetry_space_group_name_H-M 'P 1'
_symmetry_Int_Tables_number 1
_cell_length_a 4.812
_cell_length_b 4.812
_cell_length_c 14.125
_cell_angle_alpha 90.00
_cell_angle_beta 90.00
_cell_angle_gamma 90.00
loop_
_symmetry_equiv_pos_as_xyz
'x,y,z'
loop_
_atom_site_label
_atom_site_fract_x
_atom_site_fract_y
_atom_site_fract_z
Ba1 0.000 0.250 0.375
Ba2 0.000 0.750 0.625
Ba3 0.500 0.250 0.125
Ba4 0.500 0.750 0.875
B1 0.000 0.000 0.000
B2 0.000 0.500 0.000
B3 0.250 0.250 0.750
B4 0.250 0.750 0.250
B5 0.500 0.000 0.500
B6 0.500 0.500 0.500
B7 0.750 0.250 0.750
B8 0.750 0.750 0.250
Au1 0.000 0.250 0.875
Au2 0.000 0.750 0.125
Au3 0.500 0.250 0.625
Au4 0.500 0.750 0.375
```

Of them, arrangement b has the highest stability.

Arrangement a

Compound: BaZnB2Au
Source: Alexandria
Functional: PBE
Structure: optimized geometry

Values from the calculation:
Its volume is 36.47 A^3/atom.

Geometry as CIF:
```
data_BaZnB2Au
_symmetry_space_group_name_H-M 'P 1'
_symmetry_Int_Tables_number 1
_cell_length_a 5.470
_cell_length_b 5.470
_cell_length_c 6.096
_cell_angle_alpha 90.00
_cell_angle_beta 90.00
_cell_angle_gamma 90.00
loop_
_symmetry_equiv_pos_as_xyz
'x,y,z'
loop_
_atom_site_label
_atom_site_fract_x
_atom_site_fract_y
_atom_site_fract_z
Ba1 0.000 0.000 0.000
Zn1 0.500 0.500 0.500
B1 0.000 0.500 0.000
B2 0.500 0.000 0.000
Au1 0.000 0.000 0.500
```

Arrangement b

Compound: BaZnB2Au
Source: Alexandria
Functional: PBE
Structure: optimized geometry

Values from the calculation:
Its volume is 23.49 A^3/atom.

Geometry as CIF:
```
data_BaZnB2Au
_symmetry_space_group_name_H-M 'P 1'
_symmetry_Int_Tables_number 1
_cell_length_a 4.270
_cell_length_b 4.270
_cell_length_c 6.442
_cell_angle_alpha 90.00
_cell_angle_beta 90.00
_cell_angle_gamma 90.00
loop_
_symmetry_equiv_pos_as_xyz
'x,y,z'
loop_
_atom_site_label
_atom_site_fract_x
_atom_site_fract_y
_atom_site_fract_z
Ba1 0.000 0.000 0.000
Zn1 0.000 0.000 0.500
B1 0.000 0.500 0.500
B2 0.500 0.000 0.500
Au1 0.500 0.500 0.000
```

Of them, arrangement b has the highest stability.